1.
An optimized crystal structure of Hf3Ti13, computed with PBE.

Computed properties:
Calculated volume   18.31 Å³/atom
Size of the total moment   0.000 μB per atom
Energy of formation   0.08 eV per atom

a b c (Å): 7.1017 9.0523 9.1146
angles (deg): 90.00 90.00 90.00
Space group Amm2 (No. 38)
Asymmetric unit:
Hf 0.0000 0.0000 0.0000 [2 per cell]
Hf 0.2847 0.0000 0.2399 [4 per cell]
Ti 0.0000 0.0000 0.4630 [2 per cell]
Ti 0.0000 0.2333 0.2418 [4 per cell]
Ti 0.2024 0.0000 0.7266 [4 per cell]
Ti 0.2727 0.2475 0.4916 [8 per cell]
Ti 0.5000 0.0000 0.5277 [2 per cell]
Ti 0.5000 0.0000 0.9506 [2 per cell]
Ti 0.5000 0.2100 0.7411 [4 per cell]

=====

2.
An optimized crystal structure of HfTi4, computed with PBE.

Computed properties:
Calculated volume   18.51 Å³/atom
Size of the total moment   0.000 μB per atom
Energy of formation   0.09 eV per atom
Excess energy over the best structure of this formula in the dataset   0.0 meV/atom

a b c (Å): 8.6142 4.6803 5.2730
angles (deg): 90.00 119.44 90.00
Space group C2/m (No. 12)
Asymmetric unit:
Hf 0.0000 0.0000 0.0000 [2 per cell]
Ti 0.1251 0.5000 0.7819 [4 per cell]
Ti 0.2423 0.0000 0.6312 [4 per cell]

=====

3.
An optimized crystal structure of HfTi, computed with PBE.

Computed properties:
Calculated volume   19.88 Å³/atom
Size of the total moment   0.000 μB per atom
Energy of formation   0.03 eV per atom

a b c (Å): 5.3736 4.8374 6.1195
angles (deg): 90.00 90.00 90.00
Space group Pnma (No. 62)
Asymmetric unit:
Hf 0.0970 0.2500 0.1279 [4 per cell]
Ti 0.0760 0.2500 0.6223 [4 per cell]

=====

4.
An optimized crystal structure of HfTi, computed with PBE.

Computed properties:
Calculated volume   29.91 Å³/atom
Size of the total moment   1.281 μB per atom
Energy of formation   2.46 eV per atom

a b c (Å): 6.2080 6.2080 6.2080
angles (deg): 90.00 90.00 90.00
Space group F-43m (No. 216)
Asymmetric unit:
Hf 0.0000 0.0000 0.0000 [4 per cell]
Ti 0.2500 0.2500 0.2500 [4 per cell]

=====

5.
An optimized crystal structure of HfTi4, computed with PBE.

Computed properties:
Calculated volume   22.01 Å³/atom
Size of the total moment   0.169 μB per atom
Energy of formation   1.23 eV per atom
Excess energy over the best structure of this formula in the dataset   1131.0 meV/atom

a b c (Å): 4.7923 4.7923 4.7923
angles (deg): 90.00 90.00 90.00
Space group Pm-3m (No. 221)
Asymmetric unit:
Hf 0.0000 0.0000 0.0000 [1 per cell]
Ti 0.0000 0.0000 0.5000 [3 per cell]
Ti 0.5000 0.5000 0.5000 [1 per cell]

=====

6.
An optimized crystal structure of HfTi, computed with PBE.

Computed properties:
Calculated volume   19.85 Å³/atom
Size of the total moment   0.000 μB per atom
Energy of formation   0.01 eV per atom

a b c (Å): 3.0338 11.1733 4.6846
angles (deg): 90.00 90.00 90.00
Space group Cmcm (No. 63)
Asymmetric unit:
Hf 0.0000 0.1756 0.2500 [4 per cell]
Ti 0.0000 0.4376 0.2500 [4 per cell]

=====

7.
An optimized crystal structure of Hf3Ti2, computed with PBE.

Computed properties:
Calculated volume   20.59 Å³/atom
Size of the total moment   0.000 μB per atom
Energy of formation   0.11 eV per atom
Excess energy over the best structure of this formula in the dataset   0.0 meV/atom

a b c (Å): 7.7602 7.7602 6.8376
angles (deg): 90.00 90.00 90.00
Space group P4_2/mnm (No. 136)
Asymmetric unit:
Hf 0.0000 0.5000 0.2500 [4 per cell]
Hf 0.1444 0.1444 0.0000 [4 per cell]
Hf 0.1984 0.1984 0.5000 [4 per cell]
Ti 0.1246 0.8754 0.2914 [8 per cell]

=====

8.
An optimized crystal structure of Hf2Ti, computed with PBE.

Computed properties:
Calculated volume   20.72 Å³/atom
Size of the total moment   0.000 μB per atom
Energy of formation   0.09 eV per atom
Excess energy over the best structure of this formula in the dataset   60.1 meV/atom

a b c (Å): 3.1211 3.1211 12.7655
angles (deg): 90.00 90.00 90.00
Space group I4/mmm (No. 139)
Asymmetric unit:
Hf 0.0000 0.0000 0.1615 [4 per cell]
Ti 0.0000 0.0000 0.5000 [2 per cell]

=====

9.
An optimized crystal structure of Hf3Ti, computed with PBE.

Computed properties:
Calculated volume   21.14 Å³/atom
Size of the total moment   0.000 μB per atom
Energy of formation   0.09 eV per atom
Excess energy over the best structure of this formula in the dataset   62.7 meV/atom

a b c (Å): 4.3854 4.3854 8.7942
angles (deg): 90.00 90.00 90.00
Space group I4/mmm (No. 139)
Asymmetric unit:
Hf 0.0000 0.0000 0.0000 [2 per cell]
Hf 0.0000 0.5000 0.2500 [4 per cell]
Ti 0.0000 0.0000 0.5000 [2 per cell]

=====

10.
An optimized crystal structure of HfTi, computed with PBE.

Computed properties:
Calculated volume   27.12 Å³/atom
Size of the total moment   0.000 μB per atom
Energy of formation   1.59 eV per atom

a b c (Å): 4.9014 4.9014 5.2139
angles (deg): 90.00 90.00 120.00
Space group P6_3/mmc (No. 194)
Asymmetric unit:
Hf 0.3333 0.6667 0.2500 [2 per cell]
Ti 0.3333 0.6667 0.7500 [2 per cell]

=====

11.
An optimized crystal structure of HfTi, computed with PBE.

Computed properties:
Calculated volume   20.38 Å³/atom
Size of the total moment   0.000 μB per atom
Energy of formation   0.44 eV per atom

a b c (Å): 2.8804 4.9365 5.7344
angles (deg): 90.00 90.00 90.00
Space group Immm (No. 71)
Asymmetric unit:
Hf 0.0000 0.0000 0.0000 [2 per cell]
Ti 0.0000 0.0000 0.5000 [2 per cell]

=====

12.
An optimized crystal structure of Hf3Ti, computed with PBE.

Computed properties:
Calculated volume   20.99 Å³/atom
Size of the total moment   0.211 μB per atom
Energy of formation   0.17 eV per atom
Excess energy over the best structure of this formula in the dataset   146.6 meV/atom

a b c (Å): 6.9512 6.9512 6.9512
angles (deg): 90.00 90.00 90.00
Space group Fm-3m (No. 225)
Asymmetric unit:
Hf 0.0000 0.0000 0.0000 [4 per cell]
Hf 0.2500 0.2500 0.2500 [8 per cell]
Ti 0.0000 0.0000 0.5000 [4 per cell]

=====

13.
An optimized crystal structure of Hf5Ti, computed with PBE.

Computed properties:
Calculated volume   21.38 Å³/atom
Size of the total moment   0.000 μB per atom
Energy of formation   0.03 eV per atom

a b c (Å): 4.9144 6.1374 8.5071
angles (deg): 90.00 90.00 90.00
Space group Imm2 (No. 44)
Asymmetric unit:
Hf 0.0000 0.0000 0.0000 [2 per cell]
Hf 0.0000 0.0000 0.3385 [2 per cell]
Hf 0.0000 0.2509 0.6663 [4 per cell]
Hf 0.0000 0.5000 0.3241 [2 per cell]
Ti 0.0000 0.5000 0.9968 [2 per cell]

=====

14.
An optimized crystal structure of HfTi, computed with PBE.

Computed properties:
Calculated volume   20.00 Å³/atom
Size of the total moment   0.000 μB per atom
Energy of formation   0.08 eV per atom

a b c (Å): 5.3079 6.1547 9.7958
angles (deg): 90.00 90.00 90.00
Space group P2_12_12_1 (No. 19)
Asymmetric unit:
Hf 0.0091 0.1272 0.2457 [4 per cell]
Hf 0.1677 0.3768 0.5047 [4 per cell]
Ti 0.0069 0.1271 0.7537 [4 per cell]
Ti 0.1564 0.8747 0.5040 [4 per cell]

=====

15.
An optimized crystal structure of HfTi, computed with PBE.

Computed properties:
Calculated volume   35.48 Å³/atom
Size of the total moment   0.585 μB per atom
Energy of formation   2.60 eV per atom

a b c (Å): 7.5226 7.5226 7.5226
angles (deg): 90.00 90.00 90.00
Space group Pm-3n (No. 223)
Asymmetric unit:
Hf 0.0000 0.2500 0.5000 [6 per cell]
Ti 0.0000 0.5000 0.2500 [6 per cell]

=====

16.
An optimized crystal structure of Hf3Ti, computed with PBE.

Computed properties:
Calculated volume   21.13 Å³/atom
Size of the total moment   0.000 μB per atom
Energy of formation   0.09 eV per atom
Excess energy over the best structure of this formula in the dataset   63.9 meV/atom

a b c (Å): 4.3886 4.3886 4.3886
angles (deg): 90.00 90.00 90.00
Space group Pm-3m (No. 221)
Asymmetric unit:
Hf 0.0000 0.0000 0.5000 [3 per cell]
Ti 0.5000 0.5000 0.5000 [1 per cell]

=====

17.
An optimized crystal structure of HfTi, computed with PBE.

Computed properties:
Calculated volume   21.25 Å³/atom
Size of the total moment   0.001 μB per atom
Energy of formation   0.37 eV per atom

a b c (Å): 9.9248 9.9248 2.9887
angles (deg): 90.00 90.00 120.00
Space group P6_3/m (No. 176)
Asymmetric unit:
Hf 0.1375 0.6248 0.2500 [6 per cell]
Ti 0.0548 0.2710 0.2500 [6 per cell]

=====

18.
An optimized crystal structure of HfTi, computed with PBE.

Computed properties:
Calculated volume   19.98 Å³/atom
Size of the total moment   0.000 μB per atom
Energy of formation   0.05 eV per atom

a b c (Å): 3.0921 3.0921 4.8256
angles (deg): 90.00 90.00 120.00
Space group P-6m2 (No. 187)
Asymmetric unit:
Hf 0.0000 0.0000 0.0000 [1 per cell]
Ti 0.6667 0.3333 0.5000 [1 per cell]

=====

19.
An optimized crystal structure of HfTi, computed with PBE.

Computed properties:
Calculated volume   21.19 Å³/atom
Size of the total moment   0.000 μB per atom
Energy of formation   0.95 eV per atom

a b c (Å): 5.5347 5.5347 5.5347
angles (deg): 90.00 90.00 90.00
Space group Fm-3m (No. 225)
Asymmetric unit:
Hf 0.0000 0.0000 0.0000 [4 per cell]
Ti 0.0000 0.0000 0.5000 [4 per cell]

=====

20.
An optimized crystal structure of Hf5Ti, computed with PBE.

Computed properties:
Calculated volume   21.57 Å³/atom
Size of the total moment   0.000 μB per atom
Energy of formation   0.08 eV per atom

a b c (Å): 4.4275 13.2907 4.3990
angles (deg): 90.00 90.00 90.00
Space group Cmmm (No. 65)
Asymmetric unit:
Hf 0.0000 0.0000 0.0000 [2 per cell]
Hf 0.0000 0.1649 0.5000 [4 per cell]
Hf 0.0000 0.3357 0.0000 [4 per cell]
Ti 0.0000 0.5000 0.5000 [2 per cell]

=====

21.
An optimized crystal structure of HfTi4, computed with PBE.

Computed properties:
Calculated volume   19.72 Å³/atom
Size of the total moment   0.000 μB per atom
Energy of formation   0.41 eV per atom
Excess energy over the best structure of this formula in the dataset   311.3 meV/atom

a b c (Å): 7.6653 4.5645 5.6353
angles (deg): 90.00 90.32 90.00
Space group P2_1/c (No. 14)
Asymmetric unit:
Hf 0.0000 0.0000 0.0000 [2 per cell]
Ti 0.3038 0.2491 0.7488 [4 per cell]
Ti 0.3705 0.7489 0.4989 [4 per cell]

=====

22.
An optimized crystal structure of Hf4Ti, computed with PBE.

Computed properties:
Calculated volume   21.30 Å³/atom
Size of the total moment   0.000 μB per atom
Energy of formation   0.11 eV per atom
Excess energy over the best structure of this formula in the dataset   0.0 meV/atom

a b c (Å): 4.7953 6.0992 14.5641
angles (deg): 90.00 90.00 90.00
Space group Imma (No. 74)
Asymmetric unit:
Hf 0.0000 0.0000 0.0000 [4 per cell]
Hf 0.0000 0.0031 0.1998 [8 per cell]
Hf 0.0000 0.2500 0.6016 [4 per cell]
Ti 0.0000 0.2500 0.3936 [4 per cell]

=====

23.
An optimized crystal structure of HfTi, computed with PBE.

Computed properties:
Calculated volume   39.06 Å³/atom
Size of the total moment   0.727 μB per atom
Energy of formation   2.03 eV per atom

a b c (Å): 8.5497 8.5497 8.5497
angles (deg): 90.00 90.00 90.00
Space group I-43m (No. 217)
Asymmetric unit:
Hf 0.1180 0.1180 0.8820 [8 per cell]
Ti 0.1940 0.1940 0.1940 [8 per cell]

=====

24.
An optimized crystal structure of Hf3Ti, computed with PBE.

Computed properties:
Calculated volume   21.19 Å³/atom
Size of the total moment   0.000 μB per atom
Energy of formation   0.03 eV per atom
Excess energy over the best structure of this formula in the dataset   2.4 meV/atom

a b c (Å): 3.1513 4.9489 5.4352
angles (deg): 90.00 90.00 90.00
Space group Pmm2 (No. 25)
Asymmetric unit:
Hf 0.0000 0.0000 0.0000 [1 per cell]
Hf 0.0000 0.5000 0.3408 [1 per cell]
Hf 0.5000 0.5000 0.8306 [1 per cell]
Ti 0.5000 0.0000 0.5037 [1 per cell]